1.
This record from the Alexandria database describes a relaxed structure of Tl6TcBr12. The functional is PBE.

extended XYZ file:
```
19
Lattice="8.8810 1.3947 -1.2622 -1.6276 8.8413 -1.2622 0.9883 1.3947 8.9156" Properties=species:S:1:pos:R:3 pbc="T T T"
Br 3.4422 1.8275 8.5128
Br 8.3901 3.8533 -1.5542
Br 4.1056 2.9621 4.4845
Br 9.5341 2.4377 5.1766
Br 1.0164 6.0438 2.8600
Br 3.5414 6.7754 6.1188
Br 4.7995 9.8032 -2.1216
Br 7.2253 5.5868 3.5312
Br 4.1361 8.6686 1.9067
Br 4.7003 4.8553 0.2725
Br -1.2925 9.1930 1.2147
Br -0.1484 7.7774 7.9454
Tl 2.2148 6.7880 0.0897
Tl 1.4984 4.3394 5.4694
Tl 2.0489 8.7788 4.2685
Tl 6.7433 7.2913 0.9218
Tl 6.0269 4.8427 6.3015
Tl 6.1928 2.8519 2.1227
Tc 0.0000 0.0000 0.0000
```

Uncorrected formation energy, eV/atom: -0.610
Magnetization, μB per formula unit: 1.532



2.
This record from the Alexandria database describes a relaxed structure of Cd3NiAu. The functional is PBE.

extended XYZ file:
```
5
Lattice="4.9139 0.0000 0.0000 0.0000 4.9139 0.0000 0.0000 0.0000 4.9139" Properties=species:S:1:pos:R:3 pbc="T T T"
Cd 0.0000 0.0000 2.4569
Cd 2.4569 0.0000 0.0000
Cd 0.0000 2.4569 0.0000
Au 2.4569 2.4569 2.4569
Ni 0.0000 0.0000 0.0000
```

Energy of formation, eV per atom: 0.315
Magnetization, μB per formula unit: 0.000



3.
This record from the Alexandria database describes a relaxed structure of TlIr2Pt. The functional is PBE.

extended XYZ file:
```
4
Lattice="3.9239 0.0000 0.0000 0.0000 2.8669 0.0267 0.0000 2.8381 6.0260" Properties=species:S:1:pos:R:3 pbc="T T T"
Ir 1.9619 1.4286 1.4115
Ir 0.0000 2.8712 0.2434
Tl 1.9619 4.2746 4.5256
Pt 0.0000 2.8500 2.9253
```

Energy of formation, eV per atom: 0.336
Magnetization, μB per formula unit: 0.000



4.
This record from the Alexandria database describes a relaxed structure of ReSiOs2. The functional is PBE.

extended XYZ file:
```
4
Lattice="2.7602 0.0133 0.0000 -1.2750 2.4481 0.0000 0.0000 0.0000 8.4757" Properties=species:S:1:pos:R:3 pbc="T T T"
Si 0.7426 1.2307 6.3568
Os 0.0000 0.0000 8.2965
Os 0.0000 0.0000 4.4171
Re 0.7426 1.2307 2.1189
```

Uncorrected formation energy, eV/atom: 0.368
Magnetization, μB per formula unit: 0.000



5.
This record from the Alexandria database describes a relaxed structure of In4PbSe. The functional is PBE.

extended XYZ file:
```
6
Lattice="0.0000 4.3976 4.3976 4.3976 0.0000 4.3976 4.3976 4.3976 0.0000" Properties=species:S:1:pos:R:3 pbc="T T T"
In 3.2976 3.2976 3.2976
In 5.4975 5.4975 3.2976
In 5.4975 3.2976 5.4975
In 3.2976 5.4975 5.4975
Se 0.0000 0.0000 0.0000
Pb 6.5964 6.5964 6.5964
```

Uncorrected formation energy, eV/atom: 0.096
Magnetization, μB per formula unit: 0.000



6.
This record from the Alexandria database describes a relaxed structure of Pm4Te5Au. The functional is PBE.

extended XYZ file:
```
10
Lattice="4.3910 0.0000 0.0000 0.0000 9.1661 -0.6676 -2.1955 -2.0410 9.5489" Properties=species:S:1:pos:R:3 pbc="T T T"
Te 2.1955 0.0694 6.3264
Te 0.0000 7.0556 2.5549
Te 2.1955 4.8105 5.9991
Te 0.0000 2.3145 2.8822
Te 2.1955 4.5830 -0.3338
Pm 2.1955 0.1832 3.2506
Pm 2.1955 4.7442 9.0145
Pm 0.0000 2.3808 -0.1332
Pm 0.0000 6.9418 5.6307
Au 2.1955 0.0000 0.0000
```

Uncorrected formation energy, eV/atom: -1.145
Magnetization, μB per formula unit: 0.000



7.
This record from the Alexandria database describes a relaxed structure of ZrSc3Al. The functional is PBE.

extended XYZ file:
```
5
Lattice="-0.9997 4.9793 0.3878 -4.5624 -1.0714 1.9948 2.0317 0.0441 4.6705" Properties=species:S:1:pos:R:3 pbc="T T T"
Zr -1.7652 1.9760 3.5265
Sc 1.0158 0.0220 2.3352
Sc -2.2812 -0.5357 0.9974
Sc -0.4998 2.4896 0.1939
Al 0.0000 0.0000 0.0000
```

Energy of formation, eV per atom: 0.539
Magnetization, μB per formula unit: 0.015



8.
This record from the Alexandria database describes a relaxed structure of TlAgAsCl6. The functional is PBE.

extended XYZ file:
```
9
Lattice="-0.9974 0.0251 -6.7034 5.2226 -2.0411 -3.8140 -1.7011 -6.5429 0.5761" Properties=species:S:1:pos:R:3 pbc="T T T"
Tl 2.4474 -8.5210 -9.7478
Cl -1.3340 -4.8427 -1.9910
Cl 1.2282 -2.4680 -1.4107
Cl 2.0449 -5.7033 -2.0974
Cl 0.1140 -5.5372 -5.3159
Cl 2.4957 -3.0600 -4.8331
Cl -1.0550 -2.1215 -4.0245
As 0.5001 -3.9166 -3.0752
Ag 1.9546 -4.6081 -6.6921
```

Uncorrected formation energy, eV/atom: -0.628
Magnetization, μB per formula unit: 0.889